## Ti4TlSn (PBE-GGA)

Data for Ti4TlSn after structural relaxation.

Unit cell a=8.6555 b=8.6555 c=4.7047 alpha=90.03 beta=90.03 gamma=140.57
Positions (direct):
Ti (0.0403, 0.4571, 0.2500)
Ti (0.2037, 0.2868, 0.2499)
Ti (0.2868, 0.2037, 0.7499)
Ti (0.4571, 0.0403, 0.7500)
Ti (0.5429, 0.9597, 0.2500)
Ti (0.7132, 0.7963, 0.2501)
Ti (0.7963, 0.7132, 0.7501)
Ti (0.9597, 0.5429, 0.7500)
Tl (0.3756, 0.6244, 0.7500)
Tl (0.6244, 0.3756, 0.2500)
Sn (0.1257, 0.8743, 0.2500)
Sn (0.8743, 0.1257, 0.7500)

The energy above the most stable polymorph in this dataset is 14 meV/atom. Its density of states at the Fermi level is 16.1 states/eV/cell. As for the mass density: 7.6 g/cm³. For the calculated formation energy, the calculation gives 0.09 eV/atom.

=====

## Ti2TlSn (PBE-GGA)

Data for Ti2TlSn after structural relaxation.

Unit cell a=4.3567 b=4.3567 c=4.1749 alpha=90.00 beta=90.00 gamma=90.00
Positions (direct):
Ti (0.0000, 0.5000, 0.0000)
Ti (0.5000, 0.0000, 0.0000)
Tl (0.0000, 0.0000, 0.5000)
Sn (0.5000, 0.5000, 0.5000)

The energy above the most stable polymorph in this dataset is 0 meV/atom. Its density of states at the Fermi level is 2.8 states/eV/cell. As for the mass density: 8.8 g/cm³. For the calculated formation energy, the calculation gives -0.03 eV/atom.

=====

## Ti2TlSn2 (PBE-GGA)

Data for Ti2TlSn2 after structural relaxation.

Unit cell a=8.6284 b=8.6284 c=3.0490 alpha=90.00 beta=90.00 gamma=90.00
Positions (direct):
Ti (0.1189, 0.3811, 0.0000)
Ti (0.3811, 0.8811, 0.0000)
Ti (0.6189, 0.1189, 0.0000)
Ti (0.8811, 0.6189, 0.0000)
Tl (0.0000, 0.0000, 0.5000)
Tl (0.5000, 0.5000, 0.5000)
Sn (0.1704, 0.6704, 0.5000)
Sn (0.3296, 0.1704, 0.5000)
Sn (0.6704, 0.8296, 0.5000)
Sn (0.8296, 0.3296, 0.5000)

The energy above the most stable polymorph in this dataset is 73 meV/atom. Its density of states at the Fermi level is 4.9 states/eV/cell. As for the mass density: 7.9 g/cm³. For the calculated formation energy, the calculation gives -0.01 eV/atom.

=====

## Ti2Tl2Sn (PBE-GGA)

Data for Ti2Tl2Sn after structural relaxation.

Unit cell a=7.1422 b=7.1422 c=4.3893 alpha=90.00 beta=90.00 gamma=90.00
Positions (direct):
Ti (0.1440, 0.3560, 0.0000)
Ti (0.3560, 0.8560, 0.0000)
Ti (0.6440, 0.1440, 0.0000)
Ti (0.8560, 0.6440, 0.0000)
Tl (0.1602, 0.6602, 0.5000)
Tl (0.3398, 0.1602, 0.5000)
Tl (0.6602, 0.8398, 0.5000)
Tl (0.8398, 0.3398, 0.5000)
Sn (0.0000, 0.0000, 0.0000)
Sn (0.5000, 0.5000, 0.0000)

Its density of states at the Fermi level is 8.5 states/eV/cell. As for the mass density: 9.2 g/cm³. For the calculated formation energy, the calculation gives 0.07 eV/atom.

=====

## TiTlSn2 (PBE-GGA)

Data for TiTlSn2 after structural relaxation.

Unit cell a=8.3997 b=8.3997 c=5.9568 alpha=90.00 beta=90.00 gamma=90.00
Positions (direct):
Ti (0.0000, 0.0000, 0.0000)
Ti (0.0000, 0.5000, 0.2500)
Ti (0.5000, 0.0000, 0.7500)
Ti (0.5000, 0.5000, 0.5000)
Tl (0.0000, 0.0000, 0.5000)
Tl (0.0000, 0.5000, 0.7500)
Tl (0.5000, 0.0000, 0.2500)
Tl (0.5000, 0.5000, 0.0000)
Sn (0.2068, 0.2500, 0.1250)
Sn (0.2500, 0.7068, 0.3750)
Sn (0.2500, 0.7932, 0.8750)
Sn (0.2932, 0.2500, 0.6250)
Sn (0.7068, 0.7500, 0.6250)
Sn (0.7500, 0.2068, 0.8750)
Sn (0.7500, 0.2932, 0.3750)
Sn (0.7932, 0.7500, 0.1250)

The energy above the most stable polymorph in this dataset is 233 meV/atom. Its density of states at the Fermi level is 10.4 states/eV/cell. As for the mass density: 7.7 g/cm³. For the calculated formation energy, the calculation gives 0.24 eV/atom.

=====

## Ti2TlSn2 (PBE-GGA)

Data for Ti2TlSn2 after structural relaxation.

Unit cell a=7.3921 b=7.3921 c=3.9662 alpha=90.00 beta=90.00 gamma=90.00
Positions (direct):
Ti (0.1358, 0.3642, 0.0000)
Ti (0.3642, 0.8642, 0.0000)
Ti (0.6358, 0.1358, 0.0000)
Ti (0.8642, 0.6358, 0.0000)
Tl (0.0000, 0.0000, 0.0000)
Tl (0.5000, 0.5000, 0.0000)
Sn (0.1617, 0.6617, 0.5000)
Sn (0.3383, 0.1617, 0.5000)
Sn (0.6617, 0.8383, 0.5000)
Sn (0.8383, 0.3383, 0.5000)

The energy above the most stable polymorph in this dataset is 0 meV/atom. Its density of states at the Fermi level is 8.1 states/eV/cell. As for the mass density: 8.2 g/cm³. For the calculated formation energy, the calculation gives -0.08 eV/atom.

=====

## Ti4TlSn (PBE-GGA)

Data for Ti4TlSn after structural relaxation.

Unit cell a=8.1123 b=18.8291 c=2.9465 alpha=90.00 beta=90.00 gamma=90.00
Positions (direct):
Ti (0.0631, 0.1887, 0.0000)
Ti (0.0709, 0.4388, 0.0000)
Ti (0.2271, 0.3076, 0.0000)
Ti (0.2339, 0.0606, 0.0000)
Ti (0.2661, 0.5606, 0.0000)
Ti (0.2729, 0.8076, 0.0000)
Ti (0.4291, 0.9388, 0.0000)
Ti (0.4369, 0.6887, 0.0000)
Ti (0.5631, 0.3113, 0.0000)
Ti (0.5709, 0.0612, 0.0000)
Ti (0.7271, 0.1924, 0.0000)
Ti (0.7339, 0.4394, 0.0000)
Ti (0.7661, 0.9394, 0.0000)
Ti (0.7729, 0.6924, 0.0000)
Ti (0.9291, 0.5612, 0.0000)
Ti (0.9369, 0.8113, 0.0000)
Tl (0.1057, 0.9290, 0.5000)
Tl (0.3943, 0.4290, 0.5000)
Tl (0.6057, 0.5710, 0.5000)
Tl (0.8943, 0.0710, 0.5000)
Sn (0.1041, 0.6852, 0.5000)
Sn (0.3959, 0.1852, 0.5000)
Sn (0.6041, 0.8148, 0.5000)
Sn (0.8959, 0.3148, 0.5000)

The energy above the most stable polymorph in this dataset is 0 meV/atom. Its density of states at the Fermi level is 29.7 states/eV/cell. As for the mass density: 7.6 g/cm³. For the calculated formation energy, the calculation gives 0.08 eV/atom.

=====

## TiTl2Sn (PBE-GGA)

Data for TiTl2Sn after structural relaxation.

Unit cell a=7.4415 b=7.4415 c=7.4415 alpha=90.00 beta=90.00 gamma=90.00
Positions (direct):
Ti (0.0000, 0.0000, 0.0000)
Ti (0.0000, 0.5000, 0.5000)
Ti (0.5000, 0.0000, 0.5000)
Ti (0.5000, 0.5000, 0.0000)
Tl (0.2500, 0.2500, 0.2500)
Tl (0.2500, 0.2500, 0.7500)
Tl (0.2500, 0.7500, 0.2500)
Tl (0.2500, 0.7500, 0.7500)
Tl (0.7500, 0.2500, 0.2500)
Tl (0.7500, 0.2500, 0.7500)
Tl (0.7500, 0.7500, 0.2500)
Tl (0.7500, 0.7500, 0.7500)
Sn (0.0000, 0.0000, 0.5000)
Sn (0.0000, 0.5000, 0.0000)
Sn (0.5000, 0.0000, 0.0000)
Sn (0.5000, 0.5000, 0.5000)

The energy above the most stable polymorph in this dataset is 40 meV/atom. Its density of states at the Fermi level is 10.5 states/eV/cell. As for the mass density: 9.3 g/cm³. For the calculated formation energy, the calculation gives 0.40 eV/atom.

=====

## Ti2TlSn (PBE-GGA)

Data for Ti2TlSn after structural relaxation.

Unit cell a=7.6062 b=7.6062 c=5.9988 alpha=90.00 beta=90.00 gamma=90.00
Positions (direct):
Ti (0.2468, 0.2500, 0.1250)
Ti (0.2500, 0.7468, 0.3750)
Ti (0.2500, 0.7532, 0.8750)
Ti (0.2532, 0.2500, 0.6250)
Ti (0.7468, 0.7500, 0.6250)
Ti (0.7500, 0.2468, 0.8750)
Ti (0.7500, 0.2532, 0.3750)
Ti (0.7532, 0.7500, 0.1250)
Tl (0.0000, 0.0000, 0.5000)
Tl (0.0000, 0.5000, 0.7500)
Tl (0.5000, 0.0000, 0.2500)
Tl (0.5000, 0.5000, 0.0000)
Sn (0.0000, 0.0000, 0.0000)
Sn (0.0000, 0.5000, 0.2500)
Sn (0.5000, 0.0000, 0.7500)
Sn (0.5000, 0.5000, 0.5000)

The energy above the most stable polymorph in this dataset is 238 meV/atom. Its density of states at the Fermi level is 12.9 states/eV/cell. As for the mass density: 8.0 g/cm³. For the calculated formation energy, the calculation gives 0.20 eV/atom.

=====

## TiTl2VSn (PBE-GGA)

Data for TiTl2VSn after structural relaxation.

Unit cell a=5.4968 b=5.4968 c=4.3400 alpha=90.00 beta=90.00 gamma=90.00
Positions (direct):
Ti (0.0000, 0.0000, 0.0000)
Tl (0.0000, 0.5000, 0.0000)
Tl (0.5000, 0.0000, 0.0000)
V (0.0000, 0.0000, 0.5000)
Sn (0.5000, 0.5000, 0.5000)

Its density of states at the Fermi level is 5.4 states/eV/cell. As for the mass density: 7.9 g/cm³. For the calculated formation energy, the calculation gives 0.78 eV/atom.

=====

## YTi2TlSn (PBE-GGA)

Data for YTi2TlSn after structural relaxation.

Unit cell a=5.0103 b=5.0103 c=5.7050 alpha=90.00 beta=90.00 gamma=90.00
Positions (direct):
Y (0.0000, 0.0000, 0.0000)
Ti (0.0000, 0.5000, 0.0000)
Ti (0.5000, 0.0000, 0.0000)
Tl (0.0000, 0.0000, 0.5000)
Sn (0.5000, 0.5000, 0.5000)

The energy above the most stable polymorph in this dataset is 489 meV/atom. Its density of states at the Fermi level is 6.8 states/eV/cell. As for the mass density: 5.9 g/cm³. For the calculated formation energy, the calculation gives 1.23 eV/atom.

=====

## YTi2TlSn (PBE-GGA)

Data for YTi2TlSn after structural relaxation.

Unit cell a=5.1352 b=5.1352 c=5.5783 alpha=90.00 beta=90.00 gamma=90.00
Positions (direct):
Y (0.0000, 0.0000, 0.0000)
Ti (0.0000, 0.5000, 0.5000)
Ti (0.5000, 0.0000, 0.5000)
Tl (0.5000, 0.5000, 0.0000)
Sn (0.5000, 0.5000, 0.5000)

The energy above the most stable polymorph in this dataset is 0 meV/atom. Its density of states at the Fermi level is 6.1 states/eV/cell. As for the mass density: 5.7 g/cm³. For the calculated formation energy, the calculation gives 0.74 eV/atom.

=====

## TmTiSn (PBE-GGA)

Data for TmTiSn after structural relaxation.

Unit cell a=4.2438 b=4.2438 c=7.8289 alpha=90.00 beta=90.00 gamma=90.00
Positions (direct):
Tm (0.2500, 0.2500, 0.1642)
Tm (0.7500, 0.7500, 0.8358)
Ti (0.2500, 0.7500, 0.5000)
Ti (0.7500, 0.2500, 0.5000)
Sn (0.2500, 0.2500, 0.7555)
Sn (0.7500, 0.7500, 0.2445)

The energy above the most stable polymorph in this dataset is 0 meV/atom. Its density of states at the Fermi level is 4.9 states/eV/cell. As for the mass density: 7.9 g/cm³. For the calculated formation energy, the calculation gives -0.50 eV/atom.